(1)
This record from Alexandria describes a geometry-optimized BeSb2TeS structure. The functional is PBEsol.

Summary:
**N(E_F)**: 0.890 states/eV/atom
**Energy relative to the elements, uncorrected**: 0.540 eV per atom

Unit cell a=4.928 b=4.928 c=4.641 alpha=90.00 beta=90.00 gamma=90.00
Positions (direct):
Be (0.000, 0.000, 0.000)
Sb (0.000, 0.500, 0.000)
Sb (0.500, 0.000, 0.000)
Te (0.000, 0.000, 0.500)
S (0.500, 0.500, 0.500)

---

(2)
This record from Alexandria describes a geometry-optimized Ca2LaCl structure. The functional is PBEsol.

Summary:
**N(E_F)**: 0.690 states/eV/atom
**Energy relative to the elements, uncorrected**: -0.826 eV per atom

Unit cell a=10.381 b=10.381 c=10.381 alpha=20.67 beta=20.67 gamma=20.67
Positions (direct):
Ca (0.234, 0.234, 0.234)
Ca (0.766, 0.766, 0.766)
La (0.000, 0.000, 0.000)
Cl (0.500, 0.500, 0.500)

---

(3)
This record from Alexandria describes a geometry-optimized TlSbPb2 structure. The functional is PBEsol.

Summary:
**N(E_F)**: 0.496 states/eV/atom
**Energy relative to the elements, uncorrected**: 0.031 eV per atom

Unit cell a=3.416 b=4.888 c=6.878 alpha=90.00 beta=90.00 gamma=90.00
Positions (direct):
Tl (0.000, 0.000, 0.000)
Sb (0.500, 0.500, 0.748)
Pb (0.000, 0.000, 0.512)
Pb (0.500, 0.500, 0.255)